{
  "formula": "Mo2IrAu",
  "functional": "PBE-GGA",
  "state": "relaxed",
  "lattice": [[-0.7085, 2.2699, 1.4015], [0.8238, -1.1934, 2.3485], [7.6381, 3.0739, -1.1170]],
  "species": ["Mo", "Mo", "Ir", "Au"],
  "fractional_positions": [[0.0000, 0.0000, 0.5149], [0.0000, 0.0000, 0.9851], [0.5000, 0.5000, 0.7500], [0.5000, 0.5000, 0.2500]],
  "m_tot_mub_per_fu": 0.00,
  "density_g_cm3": 15.24,
  "formation_energy_ev_per_atom": 0.001,
  "e_above_lowest_polymorph_ev_per_atom": 0.016
}

=====

{
  "formula": "BaZr2BiPt",
  "functional": "PBE-GGA",
  "state": "relaxed",
  "lattice": [[5.1654, 0.0000, 0.0000], [0.0000, 6.1396, 0.0000], [0.0000, 0.0000, 5.1654]],
  "species": ["Pt", "Bi", "Zr", "Zr", "Ba"],
  "fractional_positions": [[0.0000, 0.0000, 0.0000], [0.5000, 0.5000, 0.5000], [0.5000, 0.0000, 0.0000], [0.0000, 0.0000, 0.5000], [0.0000, 0.5000, 0.0000]],
  "m_tot_mub_per_fu": 0.00,
  "density_g_cm3": 7.34,
  "formation_energy_ev_per_atom": -0.030
}

=====

{
  "formula": "AcPr2Si",
  "functional": "PBE-GGA",
  "state": "relaxed",
  "lattice": [[4.0513, 0.0000, 0.0000], [2.0256, 3.5085, 0.0000], [2.0256, 1.1695, 10.9642]],
  "species": ["Ac", "Pr", "Pr", "Si"],
  "fractional_positions": [[0.0000, 0.0000, 0.0000], [0.8853, 0.8853, 0.3441], [0.1147, 0.1147, 0.6559], [0.5000, 0.5000, 0.5000]],
  "formation_energy_uncorrected_ev_per_atom": -0.053,
  "m_tot_mub_per_fu": 0.00,
  "density_g_cm3": 5.72,
  "e_above_lowest_polymorph_ev_per_atom": 0.160
}

=====

{
  "formula": "TbLuAlPt",
  "functional": "PBE-GGA",
  "state": "relaxed",
  "lattice": [[4.9873, 0.0000, 0.0000], [2.4937, 4.3192, 0.0000], [2.4937, 1.4397, 4.0721]],
  "species": ["Lu", "Tb", "Pt", "Al"],
  "fractional_positions": [[0.5000, 0.5000, 0.5000], [0.0000, 0.0000, 0.0000], [0.7500, 0.7500, 0.7500], [0.2500, 0.2500, 0.2500]],
  "m_tot_mub_per_fu": 0.00,
  "density_g_cm3": 10.52,
  "formation_energy_ev_per_atom": -0.755
}

=====

{
  "formula": "PmHo3Sb3",
  "functional": "PBE-GGA",
  "state": "relaxed",
  "lattice": [[9.0446, 0.0000, 0.0000], [4.5223, 7.8328, 0.0000], [4.5223, 2.6109, 6.1257]],
  "species": ["Sb", "Sb", "Sb", "Sb", "Sb", "Sb", "Ho", "Ho", "Ho", "Ho", "Ho", "Ho", "Pm", "Pm"],
  "fractional_positions": [[0.7036, 0.0788, 0.7521], [0.9212, 0.5345, 0.2479], [0.2964, 0.9212, 0.2479], [0.5345, 0.2964, 0.2479], [0.0788, 0.4655, 0.7521], [0.4655, 0.7036, 0.7521], [0.9133, 0.1817, 0.2532], [0.1817, 0.6518, 0.2532], [0.8183, 0.3482, 0.7468], [0.3482, 0.0867, 0.7468], [0.0867, 0.8183, 0.7468], [0.6518, 0.9133, 0.2532], [0.3342, 0.3342, 0.9974], [0.6658, 0.6658, 0.0026]],
  "formation_energy_uncorrected_ev_per_atom": -0.890,
  "m_tot_mub_per_fu": 0.00,
  "density_g_cm3": 7.69,
  "e_above_lowest_polymorph_ev_per_atom": 0.099
}

=====

{
  "formula": "Pr4NdY",
  "functional": "PBE-GGA",
  "state": "relaxed",
  "lattice": [[7.9214, 1.9516, 1.2150], [5.1095, 6.3600, 1.2150], [-0.6816, -0.4347, 5.1494]],
  "species": ["Pr", "Pr", "Pr", "Pr", "Nd", "Y"],
  "fractional_positions": [[0.8347, 0.8347, 0.5000], [0.1653, 0.1653, 0.5000], [0.3338, 0.3338, 0.0000], [0.6662, 0.6662, 0.0000], [0.5000, 0.5000, 0.5000], [0.0000, 0.0000, 0.0000]],
  "m_tot_mub_per_fu": 0.00,
  "density_g_cm3": 6.21,
  "formation_energy_ev_per_atom": 0.014,
  "e_above_lowest_polymorph_ev_per_atom": 0.000
}

=====

{
  "formula": "HgOF2",
  "functional": "PBE-GGA",
  "state": "relaxed",
  "lattice": [[3.7089, -0.0353, -0.0892], [-0.0349, 5.9330, -2.3802], [-0.3990, -2.1337, 8.7351]],
  "species": ["O", "O", "F", "F", "F", "F", "Hg", "Hg"],
  "fractional_positions": [[0.4316, 0.5181, 0.0557], [0.6244, 0.6681, 0.0475], [0.7565, 0.5621, 0.4137], [0.2984, 0.6238, 0.6896], [0.2554, 0.0655, 0.4157], [0.8003, 0.1205, 0.6878], [0.7769, 0.3442, 0.5527], [0.2781, 0.8417, 0.5507]],
  "formation_energy_uncorrected_ev_per_atom": -1.023,
  "m_tot_mub_per_fu": 1.00,
  "density_g_cm3": 4.88,
  "e_above_lowest_polymorph_ev_per_atom": 0.000
}

=====

{
  "formula": "PmGaPbAu",
  "functional": "PBE-GGA",
  "state": "relaxed",
  "lattice": [[5.1590, 0.0000, 0.0000], [2.5795, 4.4678, 0.0000], [2.5795, 1.4893, 4.2123]],
  "species": ["Ga", "Pb", "Au", "Pm"],
  "fractional_positions": [[0.7500, 0.7500, 0.7500], [0.0000, 0.0000, 0.0000], [0.2500, 0.2500, 0.2500], [0.5000, 0.5000, 0.5000]],
  "m_tot_mub_per_fu": 0.00,
  "density_g_cm3": 10.58,
  "formation_energy_ev_per_atom": -0.405
}

=====

{
  "formula": "Li2SnSb",
  "functional": "PBE-GGA",
  "state": "relaxed",
  "lattice": [[4.2331, 0.0000, 0.0000], [0.0000, 4.4924, 0.0000], [0.0000, 0.0000, 4.4924]],
  "species": ["Li", "Li", "Sn", "Sb"],
  "fractional_positions": [[0.0000, 0.5000, 0.0000], [0.0000, 0.0000, 0.5000], [0.5000, 0.0000, 0.0000], [0.5000, 0.5000, 0.5000]],
  "formation_energy_uncorrected_ev_per_atom": -0.392,
  "m_tot_mub_per_fu": 0.00,
  "density_g_cm3": 4.94
}

=====

{
  "formula": "UH2I6",
  "functional": "PBE-GGA",
  "state": "relaxed",
  "lattice": [[-4.8224, 5.3316, -3.8810], [-5.3431, 0.8688, 7.8326], [6.3583, 7.9580, 3.4547]],
  "species": ["I", "I", "I", "I", "I", "I", "I", "I", "I", "I", "I", "I", "U", "U", "H", "H", "H", "H"],
  "fractional_positions": [[0.6641, 0.2366, 0.0695], [0.3359, 0.7634, 0.9305], [0.8359, 0.7366, 0.4305], [0.8375, 0.9926, 0.7475], [0.3375, 0.5074, 0.2475], [0.6779, 0.1704, 0.4310], [0.1625, 0.0074, 0.2525], [0.3221, 0.8296, 0.5690], [0.8221, 0.6704, 0.0690], [0.6625, 0.4926, 0.7525], [0.1779, 0.3296, 0.9310], [0.1641, 0.2634, 0.5695], [0.0000, 0.0000, 0.5000], [0.5000, 0.5000, 0.0000], [0.2787, 0.8965, 0.4189], [0.7787, 0.6035, 0.9189], [0.2213, 0.3965, 0.0811], [0.7213, 0.1035, 0.5811]],
  "final_energy_ev_per_atom": -3.41,
  "m_tot_mub_per_fu": 2.00,
  "density_g_cm3": 3.98
}

=====

{
  "formula": "Nb2AgHS",
  "functional": "PBE-GGA",
  "state": "relaxed",
  "lattice": [[5.1715, 0.0000, 0.0000], [0.0000, 3.1401, 0.0000], [0.0000, 0.0000, 5.1715]],
  "species": ["Nb", "Nb", "S", "Ag", "H"],
  "fractional_positions": [[0.0000, 0.0000, 0.5000], [0.5000, 0.0000, 0.0000], [0.5000, 0.5000, 0.5000], [0.0000, 0.0000, 0.0000], [0.0000, 0.5000, 0.0000]],
  "final_energy_ev_per_atom": -5.08,
  "m_tot_mub_per_fu": 0.00,
  "density_g_cm3": 6.46
}

=====

{
  "formula": "Sm8Sn2Pb",
  "functional": "PBE-GGA",
  "state": "relaxed",
  "lattice": [[-0.5184, 2.4860, 4.4778], [0.4186, -6.1316, 3.4526], [9.7888, 1.7233, -2.7824]],
  "species": ["Sm", "Sm", "Sm", "Sm", "Sm", "Sm", "Sm", "Sm", "Sn", "Sn", "Pb"],
  "fractional_positions": [[0.0229, 0.7609, 0.0459], [0.7846, 0.6701, 0.5691], [0.6606, 0.0027, 0.3213], [0.2154, 0.3299, 0.4309], [0.3394, 0.9973, 0.6787], [0.9771, 0.2391, 0.9541], [0.5937, 0.4792, 0.1875], [0.4063, 0.5208, 0.8125], [0.8181, 0.2414, 0.6362], [0.1819, 0.7586, 0.3638], [0.5000, 0.0000, 0.0000]],
  "m_tot_mub_per_fu": 0.00,
  "density_g_cm3": 7.75,
  "formation_energy_ev_per_atom": -0.350
}

=====

{
  "formula": "RbPaCd17",
  "functional": "PBE-GGA",
  "state": "relaxed",
  "lattice": [[-1.1934, 6.0807, 4.7041], [5.3913, -1.7005, 5.3450], [5.6772, 4.5816, -2.7029]],
  "species": ["Cd", "Cd", "Cd", "Cd", "Cd", "Cd", "Cd", "Cd", "Cd", "Cd", "Cd", "Cd", "Cd", "Cd", "Cd", "Cd", "Cd", "Pa", "Rb"],
  "fractional_positions": [[0.9100, 0.9100, 0.9100], [0.6223, 0.6223, 0.1938], [0.2950, 0.0036, 0.7000], [0.1072, 0.1072, 0.1072], [0.2950, 0.7000, 0.0036], [0.0036, 0.2950, 0.7000], [0.5178, 0.9833, 0.9833], [0.0036, 0.7000, 0.2950], [0.9833, 0.5178, 0.9833], [0.1938, 0.6223, 0.6223], [0.7000, 0.0036, 0.2950], [0.9833, 0.9833, 0.5178], [0.6223, 0.1938, 0.6223], [0.3477, 0.8757, 0.3477], [0.8757, 0.3477, 0.3477], [0.3477, 0.3477, 0.8757], [0.7000, 0.2950, 0.0036], [0.3292, 0.3292, 0.3292], [0.6624, 0.6624, 0.6624]],
  "m_tot_mub_per_fu": 1.57,
  "density_g_cm3": 8.07,
  "formation_energy_ev_per_atom": 0.015
}

=====

{
  "formula": "Tb2Th3C4",
  "functional": "PBE-GGA",
  "state": "relaxed",
  "lattice": [[3.6335, 0.0000, 0.8938], [1.6270, 6.1919, 1.2180], [-0.0995, 0.4627, 8.2370]],
  "species": ["Th", "Th", "Th", "C", "C", "C", "C", "Tb", "Tb"],
  "fractional_positions": [[0.1987, 0.4036, 0.1990], [0.0000, 0.0000, 0.0000], [0.8013, 0.5964, 0.8010], [0.3900, 0.3093, 0.9108], [0.7997, 0.0962, 0.3044], [0.6100, 0.6907, 0.0892], [0.2003, 0.9038, 0.6956], [0.3877, 0.8367, 0.3879], [0.6123, 0.1633, 0.6121]],
  "m_tot_mub_per_fu": 0.00,
  "density_g_cm3": 9.56,
  "formation_energy_ev_per_atom": -0.271
}

=====

{
  "formula": "Er12CoCu6",
  "functional": "PBE-GGA",
  "state": "relaxed",
  "lattice": [[-3.4861, -6.9447, 1.7768], [7.3340, -1.7258, 2.6022], [-2.4885, 4.1583, 6.3288]],
  "species": ["Er", "Er", "Er", "Er", "Er", "Er", "Er", "Er", "Er", "Er", "Er", "Er", "Cu", "Cu", "Cu", "Cu", "Cu", "Cu", "Co"],
  "fractional_positions": [[0.5824, 0.4342, 0.8105], [0.6834, 0.9222, 0.0258], [0.1895, 0.4176, 0.5658], [0.3166, 0.0778, 0.9742], [0.9742, 0.3166, 0.0778], [0.4342, 0.8105, 0.5824], [0.9222, 0.0258, 0.6834], [0.8105, 0.5824, 0.4342], [0.4176, 0.5658, 0.1895], [0.0258, 0.6834, 0.9222], [0.0778, 0.9742, 0.3166], [0.5658, 0.1895, 0.4176], [0.6327, 0.3123, 0.1269], [0.3673, 0.6877, 0.8731], [0.8731, 0.3673, 0.6877], [0.6877, 0.8731, 0.3673], [0.1269, 0.6327, 0.3123], [0.3123, 0.1269, 0.6327], [0.0000, 0.0000, 0.0000]],
  "m_tot_mub_per_fu": 0.00,
  "density_g_cm3": 8.30,
  "formation_energy_ev_per_atom": -0.014
}

=====

{
  "formula": "ZrTi2O",
  "functional": "PBE-GGA",
  "state": "relaxed",
  "lattice": [[-3.3825, -0.8689, 3.3293], [1.2286, -3.2923, -3.3063], [2.1256, -1.0899, 1.8751]],
  "species": ["Zr", "O", "Ti", "Ti"],
  "fractional_positions": [[0.0000, 0.0000, 0.0000], [0.5000, 0.5000, 0.0000], [0.3287, 0.6713, 0.5000], [0.6713, 0.3287, 0.5000]],
  "formation_energy_uncorrected_ev_per_atom": -1.423,
  "m_tot_mub_per_fu": 0.00,
  "density_g_cm3": 5.62
}

=====

{
  "formula": "SmDyAu",
  "functional": "PBE-GGA",
  "state": "relaxed",
  "lattice": [[3.6333, 0.0000, 0.0000], [0.0000, 3.6333, 0.0000], [-1.8167, -1.8167, 6.2251]],
  "species": ["Dy", "Au", "Sm"],
  "fractional_positions": [[0.3089, 0.3089, 0.6177], [0.9431, 0.9431, 0.8862], [0.5980, 0.5980, 0.1961]],
  "m_tot_mub_per_fu": 0.77,
  "density_g_cm3": 10.30,
  "formation_energy_ev_per_atom": -0.520,
  "e_above_lowest_polymorph_ev_per_atom": 0.092
}

=====

{
  "formula": "TaBeN2",
  "functional": "PBE-GGA",
  "state": "relaxed",
  "lattice": [[-2.0229, -3.2172, 2.2859], [0.6926, -2.8182, -3.3535], [3.1558, -4.1710, 1.2245]],
  "species": ["Ta", "Ta", "Be", "Be", "N", "N", "N", "N"],
  "fractional_positions": [[0.0000, 0.0000, 0.0000], [0.7500, 0.2500, 0.5000], [0.5000, 0.5000, 0.0000], [0.2500, 0.7500, 0.5000], [0.8750, 0.8353, 0.7500], [0.3750, 0.4147, 0.7500], [0.5853, 0.1250, 0.2500], [0.1647, 0.6250, 0.2500]],
  "formation_energy_uncorrected_ev_per_atom": -0.748,
  "m_tot_mub_per_fu": 0.00,
  "density_g_cm3": 8.44
}

=====

{
  "formula": "BaLiTlPb2",
  "functional": "PBE-GGA",
  "state": "relaxed",
  "lattice": [[5.3788, 0.0000, 0.0000], [0.0000, 5.3788, 0.0000], [0.0000, 0.0000, 5.3830]],
  "species": ["Pb", "Pb", "Tl", "Ba", "Li"],
  "fractional_positions": [[0.5000, 0.0000, 0.0000], [0.0000, 0.5000, 0.0000], [0.0000, 0.0000, 0.5000], [0.5000, 0.5000, 0.5000], [0.0000, 0.0000, 0.0000]],
  "m_tot_mub_per_fu": 0.00,
  "density_g_cm3": 8.14,
  "formation_energy_ev_per_atom": -0.263,
  "e_above_lowest_polymorph_ev_per_atom": 0.059
}

=====

{
  "formula": "BiSb3H",
  "functional": "PBE-GGA",
  "state": "relaxed",
  "lattice": [[4.8805, 0.0000, 0.0000], [0.0000, 4.8805, 0.0000], [0.0000, 0.0000, 4.8805]],
  "species": ["H", "Bi", "Sb", "Sb", "Sb"],
  "fractional_positions": [[0.0000, 0.0000, 0.0000], [0.5000, 0.5000, 0.5000], [0.5000, 0.0000, 0.0000], [0.0000, 0.0000, 0.5000], [0.0000, 0.5000, 0.0000]],
  "m_tot_mub_per_fu": 0.00,
  "density_g_cm3": 8.22,
  "e_above_lowest_polymorph_ev_per_atom": 0.000
}